[1]
# LiSn2GeS4 (PBE, optimized geometry)
# E: -4.368 eV/atom
data_LiSn2GeS4
_chemical_formula_sum 'Li2 Sn4 Ge2 S8'
_symmetry_space_group_name_H-M 'P m n 21'
_symmetry_Int_Tables_number 31
_cell_length_a 7.742
_cell_length_b 9.138
_cell_length_c 5.860
_cell_angle_alpha 90.00
_cell_angle_beta 90.00
_cell_angle_gamma 90.00
loop_
_symmetry_equiv_pos_as_xyz
'x,y,z'
'-x+1/2,-y,z+1/2'
'-x,y,z'
'x+1/2,-y,z+1/2'
loop_
_atom_site_label
_atom_site_type_symbol
_atom_site_fract_x
_atom_site_fract_y
_atom_site_fract_z
_atom_site_occupancy
Li1 Li 0.000 0.132 0.000 1
Sn1 Sn 0.240 0.328 0.516 1
Ge1 Ge 0.000 0.854 0.497 1
S1 S 0.000 0.119 0.569 1
S2 S 0.000 0.861 0.088 1
S3 S 0.242 0.712 0.568 1

[2]
# TbP2Pt4 (PBE, optimized geometry)
# E: -6.445 eV/atom
# Energy of formation from the pure elements: -0.79 eV per atom
data_TbP2Pt4
_chemical_formula_sum 'Tb2 P4 Pt8'
_symmetry_space_group_name_H-M 'P 42/m n m'
_symmetry_Int_Tables_number 136
_symmetry_space_group_name_Hall '-P 4n 2n'
_cell_length_a 7.958
_cell_length_b 7.958
_cell_length_c 3.669
_cell_angle_alpha 90.00
_cell_angle_beta 90.00
_cell_angle_gamma 90.00
loop_
_atom_site_label
_atom_site_type_symbol
_atom_site_fract_x
_atom_site_fract_y
_atom_site_fract_z
_atom_site_occupancy
Tb1 Tb 0.000 0.000 0.000 1
P1 P 0.229 0.229 0.500 1
Pt1 Pt 0.058 0.696 0.500 1

[3]
# Ca2Sm2Au3 (PBE, optimized geometry)
# E: -3.989 eV/atom
# Energy of formation from the pure elements: -0.66 eV per atom
data_Ca2Sm2Au3
_chemical_formula_sum 'Ca4 Sm4 Au6'
_symmetry_space_group_name_H-M 'C 1 2/m 1'
_symmetry_Int_Tables_number 12
_cell_length_a 8.902
_cell_length_b 5.127
_cell_length_c 8.965
_cell_angle_alpha 90.00
_cell_angle_beta 109.19
_cell_angle_gamma 90.00
loop_
_symmetry_equiv_pos_as_xyz
'x,y,z'
'-x,-y,-z'
'-x,y,-z'
'x,-y,z'
'x+1/2,y+1/2,z'
'-x+1/2,-y+1/2,-z'
'-x+1/2,y+1/2,-z'
'x+1/2,-y+1/2,z'
loop_
_atom_site_label
_atom_site_type_symbol
_atom_site_fract_x
_atom_site_fract_y
_atom_site_fract_z
_atom_site_occupancy
Ca1 Ca 0.127 0.000 0.382 1
Sm1 Sm 0.123 0.500 0.869 1
Au1 Au 0.000 0.500 0.500 1
Au2 Au 0.241 0.500 0.222 1

[4]
# BeCrAg2 (PBE, optimized geometry)
# E: -4.240 eV/atom
# Energy of formation from the pure elements: 0.52 eV per atom
data_BeCrAg2
_chemical_formula_sum 'Be2 Cr2 Ag4'
_symmetry_space_group_name_H-M 'C 1 2/m 1'
_symmetry_Int_Tables_number 12
_cell_length_a 5.442
_cell_length_b 8.984
_cell_length_c 2.843
_cell_angle_alpha 90.00
_cell_angle_beta 115.94
_cell_angle_gamma 90.00
loop_
_symmetry_equiv_pos_as_xyz
'x,y,z'
'-x,-y,-z'
'-x,y,-z'
'x,-y,z'
'x+1/2,y+1/2,z'
'-x+1/2,-y+1/2,-z'
'-x+1/2,y+1/2,-z'
'x+1/2,-y+1/2,z'
loop_
_atom_site_label
_atom_site_type_symbol
_atom_site_fract_x
_atom_site_fract_y
_atom_site_fract_z
_atom_site_occupancy
Be1 Be 0.000 0.000 0.000 1
Cr1 Cr 0.000 0.500 0.000 1
Ag1 Ag 0.250 0.250 0.500 1

[5]
# Ce2HoTl6 (PBE, optimized geometry)
# E: -3.539 eV/atom
# Energy of formation from the pure elements: -0.13 eV per atom
data_Ce2HoTl6
_chemical_formula_sum 'Ce4 Ho2 Tl12'
_symmetry_space_group_name_H-M 'C 1 2/m 1'
_symmetry_Int_Tables_number 12
_cell_length_a 15.959
_cell_length_b 9.177
_cell_length_c 3.473
_cell_angle_alpha 90.00
_cell_angle_beta 90.02
_cell_angle_gamma 90.00
loop_
_symmetry_equiv_pos_as_xyz
'x,y,z'
'-x,-y,-z'
'-x,y,-z'
'x,-y,z'
'x+1/2,y+1/2,z'
'-x+1/2,-y+1/2,-z'
'-x+1/2,y+1/2,-z'
'x+1/2,-y+1/2,z'
loop_
_atom_site_label
_atom_site_type_symbol
_atom_site_fract_x
_atom_site_fract_y
_atom_site_fract_z
_atom_site_occupancy
Ce1 Ce 0.167 0.000 0.000 1
Ho1 Ho 0.000 0.500 0.000 1
Tl1 Tl 0.000 0.170 0.500 1
Tl2 Tl 0.165 0.335 0.494 1

[6]
# PmLuI2 (PBE, optimized geometry)
# E: -3.757 eV/atom
data_PmLuI2
_chemical_formula_sum 'Pm3 Lu3 I6'
_symmetry_space_group_name_H-M 'R -3 m'
_symmetry_Int_Tables_number 166
_symmetry_space_group_name_Hall '-R 3 2"'
_cell_length_a 3.8720
_cell_length_b 3.8720
_cell_length_c 32.0281
_cell_angle_alpha 90.00
_cell_angle_beta 90.00
_cell_angle_gamma 120.00
loop_
_atom_site_label
_atom_site_type_symbol
_atom_site_fract_x
_atom_site_fract_y
_atom_site_fract_z
_atom_site_occupancy
Pm1 Pm 0.0000 0.0000 0.0000 1
Lu1 Lu 0.0000 0.0000 0.5000 1
I1 I 0.0000 0.0000 0.4050 1

[7]
# Ce2TiAs4Pd3 (PBE, optimized geometry)
# E: -6.250 eV/atom
# Energy of formation from the pure elements: -0.86 eV per atom
data_Ce2TiAs4Pd3
_chemical_formula_sum 'Ce2 Ti1 As4 Pd3'
_symmetry_space_group_name_H-M 'P -4 m 2'
_symmetry_Int_Tables_number 115
_cell_length_a 4.397
_cell_length_b 4.397
_cell_length_c 10.256
_cell_angle_alpha 90.00
_cell_angle_beta 90.00
_cell_angle_gamma 90.00
loop_
_symmetry_equiv_pos_as_xyz
'x,y,z'
'y,-x,-z'
'-x,-y,z'
'-y,x,-z'
'-x,y,z'
'-y,-x,-z'
'x,-y,z'
'y,x,-z'
loop_
_atom_site_label
_atom_site_type_symbol
_atom_site_fract_x
_atom_site_fract_y
_atom_site_fract_z
_atom_site_occupancy
Ce1 Ce 0.000 0.500 0.234 1
Ti1 Ti 0.000 0.000 0.500 1
As1 As 0.000 0.000 0.000 1
As2 As 0.000 0.500 0.635 1
As3 As 0.500 0.500 0.000 1
Pd1 Pd 0.000 0.500 0.877 1
Pd2 Pd 0.500 0.500 0.500 1

[8]
# TlGeIr2 (PBE, optimized geometry)
# Relative energy among the computed polymorphs: 30 meV per atom
# E: -5.749 eV/atom
# Energy of formation from the pure elements: 0.43 eV per atom
data_TlGeIr2
_chemical_formula_sum 'Tl4 Ge4 Ir8'
_symmetry_space_group_name_H-M 'F m -3 m'
_symmetry_Int_Tables_number 225
_symmetry_space_group_name_Hall '-F 4 2 3'
_cell_length_a 6.466
_cell_length_b 6.466
_cell_length_c 6.466
_cell_angle_alpha 90.00
_cell_angle_beta 90.00
_cell_angle_gamma 90.00
loop_
_atom_site_label
_atom_site_type_symbol
_atom_site_fract_x
_atom_site_fract_y
_atom_site_fract_z
_atom_site_occupancy
Tl1 Tl 0.000 0.000 0.000 1
Ge1 Ge 0.000 0.000 0.500 1
Ir1 Ir 0.250 0.250 0.250 1

| no. | size of the total moment (μB/f.u.) |
| --- | --- |
| 1 | 0.00 |
| 2 | 0.00 |
| 3 | 0.00 |
| 4 | 3.89 |
| 5 | 2.42 |
| 6 | 0.00 |
| 7 | 3.23 |
| 8 | 0.53 |